YMnGa2, relaxed, DFT GGA-PBE; crystal system = cubic; calculated formation energy = -0.044 eV per atom; D(E_F) = 8.7 states/eV/cell; calculated total energy = -5.466 eV per atom
1.0
-4.221 1.654 0.749
-1.897 2.906 -3.012
-3.508 -1.380 -2.627
Ga Y Mn
2 1 1
Cartesian
-2.407 0.795 -1.222 Ga
-7.220 2.384 -3.667 Ga
-4.813 1.590 -2.445 Y
0.000 0.000 0.000 Mn